1.
Below is crystalline SmPa2Sb at its relaxed geometry, with properties calculated at the PBE level.

Properties
DOS(E_F) in states/eV/f.u.: 8.34
Formation energy (no corrections) in eV per atom: -0.26
Calculated total energy in eV per cell: -28.87
Magnetic moment in μB per formula unit: 0.48

Cell lengths 5.102, 4.504, 4.504 Å; angles 90.00, 90.00, 90.00 degrees
Positions (direct):
Sb (0.500, 0.500, 0.500)
Pa (0.000, 0.000, 0.500)
Pa (0.000, 0.500, 0.000)
Sm (0.500, 0.000, 0.000)

***

2.
Below is crystalline Ho2Er6Pu at its relaxed geometry, with properties calculated at the PBE level.

Properties
DOS(E_F) in states/eV/f.u.: 15.60
Calculated total energy in eV per cell: -99.93
Magnetic moment in μB per formula unit: 6.59
Energy relative to the elements in meV per atom: 100

Cell lengths 6.495, 6.495, 14.654 Å; angles 108.76, 108.76, 95.25 degrees
Positions (direct):
Ho (0.331, 0.495, 0.332)
Ho (0.505, 0.669, 0.168)
Ho (0.669, 0.505, 0.668)
Ho (0.495, 0.331, 0.832)
Er (0.169, 0.336, 0.501)
Er (0.664, 0.831, 0.999)
Er (0.831, 0.664, 0.499)
Er (0.336, 0.169, 0.001)
Er (0.085, 0.586, 0.915)
Er (0.414, 0.915, 0.585)
Er (0.915, 0.414, 0.085)
Er (0.586, 0.085, 0.415)
Er (0.164, 0.997, 0.165)
Er (0.003, 0.836, 0.335)
Er (0.836, 0.003, 0.835)
Er (0.997, 0.164, 0.665)
Pu (0.751, 0.249, 0.250)
Pu (0.249, 0.751, 0.750)

***

3.
Below is crystalline Cr2RePb at its relaxed geometry, with properties calculated at the PBE level.

Properties
DOS(E_F) in states/eV/f.u.: 3.49
Calculated total energy in eV per cell: -32.69
Magnetic moment in μB per formula unit: 3.99
Energy relative to the elements in meV per atom: 679

Cell lengths 8.675, 8.675, 8.675 Å; angles 20.44, 20.44, 20.44 degrees
Positions (direct):
Cr (0.013, 0.013, 0.013)
Cr (0.487, 0.487, 0.487)
Pb (0.250, 0.250, 0.250)
Re (0.750, 0.750, 0.750)

***

DOS(E_F) of number 2 (Ho2Er6Pu)? 15.60 states/eV/f.u.